Here is crystalline CsBaNdI6 at its relaxed geometry from the Alexandria database. Energies are from PBE-GGA.

Results
Final energy = -3.45 eV per atom
ΔE_f (raw) = -1578 meV/atom
Total magnetic moment = 0.0 μB/cell
Fermi-level density of states = 0.00 states/eV/atom

Cell lengths 8.6973, 8.6973, 16.2055 Å; angles 90.00, 90.00, 120.00 degrees
Last column: nearest neighbours and their distance in Å.
Fractional coordinates of all 18 atoms:
Cs1 0.0000 0.0000 0.0000  6 I 3.93
Cs2 0.0000 0.0000 0.5000  6 I 3.93
Ba1 0.3333 0.6667 0.2500  6 I 3.47
Ba2 0.6667 0.3333 0.7500  6 I 3.47
Nd1 0.3333 0.6667 0.7500  6 I 3.15
Nd2 0.6667 0.3333 0.2500  6 I 3.15
I1 0.0287 0.3884 0.6357  1 Nd 3.15, 1 Ba 3.47
I2 0.0287 0.6404 0.8643  1 Nd 3.15, 1 Ba 3.47
I3 0.3596 0.3884 0.8643  1 Nd 3.15, 1 Ba 3.47
I4 0.3596 0.9713 0.6357  1 Nd 3.15, 1 Ba 3.47
I5 0.3884 0.0287 0.1357  1 Nd 3.15, 1 Ba 3.47
I6 0.3884 0.3596 0.3643  1 Nd 3.15, 1 Ba 3.47
I7 0.6116 0.6404 0.6357  1 Nd 3.15, 1 Ba 3.47
I8 0.6116 0.9713 0.8643  1 Nd 3.15, 1 Ba 3.47
I9 0.6404 0.0287 0.3643  1 Nd 3.15, 1 Ba 3.47
I10 0.6404 0.6116 0.1357  1 Nd 3.15, 1 Ba 3.47
I11 0.9713 0.3596 0.1357  1 Nd 3.15, 1 Ba 3.47
I12 0.9713 0.6116 0.3643  1 Nd 3.15, 1 Ba 3.47